Computed, not measured: crystalline SiSb2Mo at its relaxed geometry at the PBE level of DFT.

Structure (POSCAR):
```
SiSb2Mo
1.0
-0.2938 9.7146 -0.0844
-3.4293 9.0931 0.1506
-1.6090 9.1711 2.7875
Sb Si Mo
2 1 1
Direct
0.2351 0.2351 0.2351
0.0181 0.0181 0.0181
0.4878 0.4878 0.4878
0.7590 0.7590 0.7590
```

Properties
**ΔE_f (raw)**: 0.85 eV/f.u.